(1)
The following is a PBE calculation of crystalline Sm3InSe6 at its relaxed geometry, from Alexandria via LeMat-Bulk.

## Properties
Formation energy from raw total energies ... -1.54 eV/atom
Raw total energy ... -5.325 eV/atom
ρ ... 6.04 g/cm3
Distance to the lowest polymorph of the same formula ... 3 meV per atom

Cell: 11.437 14.259 7.007 Å, 90.00 90.00 90.00°
Space group Cmc2_1 (No. 36)
One atom of each set of equivalent atoms:
Sm 0.000 0.095 0.000 [4 per cell]
Sm 0.185 0.403 0.098 [8 per cell]
In 0.000 0.298 0.626 [4 per cell]
Se 0.000 0.279 0.258 [4 per cell]
Se 0.000 0.467 0.790 [4 per cell]
Se 0.163 0.033 0.297 [8 per cell]
Se 0.173 0.229 0.827 [8 per cell]



(2)
The following is a PBE calculation of crystalline Th6Co2IrSe3 at its relaxed geometry, from Alexandria via LeMat-Bulk.

## Properties
Formation energy from raw total energies ... -1.06 eV/atom
Raw total energy ... -7.564 eV/atom
ρ ... 10.27 g/cm3

Cell: 18.411 4.144 8.707 Å, 90.00 109.20 90.00°
Space group C2/m (No. 12)
One atom of each set of equivalent atoms:
Th 0.014 0.000 0.241 [4 per cell]
Th 0.160 0.500 0.105 [4 per cell]
Th 0.180 0.500 0.565 [4 per cell]
Co 0.168 0.000 0.335 [4 per cell]
Ir 0.000 0.500 0.000 [2 per cell]
Se 0.000 0.500 0.500 [2 per cell]
Se 0.165 0.000 0.832 [4 per cell]



(3)
The following is a PBE calculation of crystalline Tb3InFe at its relaxed geometry, from Alexandria via LeMat-Bulk.

## Properties
Calculated formation energy ... -0.3 eV per formula unit
Raw total energy ... -5.071 eV/atom
ρ ... 7.94 g/cm3

Cell: 5.135 5.135 5.135 Å, 90.00 90.00 90.00°
Space group Pm-3m (No. 221)
One atom of each set of equivalent atoms:
Tb 0.000 0.000 0.500 [3 per cell]
In 0.500 0.500 0.500 [1 per cell]
Fe 0.000 0.000 0.000 [1 per cell]



(4)
The following is a PBE calculation of crystalline Ac2GaSi2Au6 at its relaxed geometry, from Alexandria via LeMat-Bulk.

## Properties
Formation energy from raw total energies ... -0.38 eV/atom
Raw total energy ... -4.177 eV/atom
ρ ... 9.49 g/cm3

Cell: 6.7852 6.7852 23.1976 Å, 90.00 90.00 120.00°
Space group R-3m (No. 166, hexagonal axes)
One atom of each set of equivalent atoms:
Ac 0.0000 0.0000 0.2132 [6 per cell]
Ga 0.0000 0.0000 0.0000 [3 per cell]
Si 0.0000 0.0000 0.4499 [6 per cell]
Au 0.0531 0.5265 0.7546 [18 per cell]



(5)
The following is a PBE calculation of crystalline LiTa2V at its relaxed geometry, from Alexandria via LeMat-Bulk.

## Properties
Calculated formation energy ... 3.3 eV per formula unit
Raw total energy ... -7.850 eV/atom
ρ ... 10.00 g/cm3
Distance to the lowest polymorph of the same formula ... 526 meV per atom

Cell: 3.836 3.836 18.957 Å, 90.00 90.00 90.00°
Space group I-42d (No. 122)
One atom of each set of equivalent atoms:
Li 0.000 0.000 0.000 [4 per cell]
Ta 0.240 0.250 0.625 [8 per cell]
V 0.000 0.000 0.500 [4 per cell]



(6)
The following is a PBE calculation of crystalline Ac5La5Tm2 at its relaxed geometry, from Alexandria via LeMat-Bulk.

## Properties
Calculated formation energy ... 0.5 eV per formula unit
Raw total energy ... -4.472 eV/atom
ρ ... 7.69 g/cm3

Cell: 16.170 5.386 12.019 Å, 90.00 116.62 90.00°
Space group C2/m (No. 12)
One atom of each set of equivalent atoms:
Ac 0.000 0.000 0.000 [2 per cell]
Ac 0.161 0.000 0.496 [4 per cell]
Ac 0.247 0.500 0.752 [4 per cell]
La 0.000 0.500 0.500 [2 per cell]
La 0.078 0.500 0.247 [4 per cell]
La 0.167 0.500 0.999 [4 per cell]
Tm 0.085 0.000 0.756 [4 per cell]



(7)
The following is a PBE calculation of crystalline Er4TlGaHg2 at its relaxed geometry, from Alexandria via LeMat-Bulk.

## Properties
Calculated formation energy ... -3.6 eV per formula unit
Raw total energy ... -3.482 eV/atom
ρ ... 11.21 g/cm3

Cell: 5.2029 5.2029 25.4896 Å, 90.00 90.00 120.00°
Space group R-3m (No. 166, hexagonal axes)
One atom of each set of equivalent atoms:
Er 0.0000 0.0000 0.1204 [6 per cell]
Er 0.0000 0.0000 0.3709 [6 per cell]
Tl 0.0000 0.0000 0.5000 [3 per cell]
Ga 0.0000 0.0000 0.0000 [3 per cell]
Hg 0.0000 0.0000 0.2487 [6 per cell]



(8)
The following is a PBE calculation of crystalline ZrTaTi2 at its relaxed geometry, from Alexandria via LeMat-Bulk.

## Properties
Calculated formation energy ... 0.6 eV per formula unit
Raw total energy ... -8.897 eV/atom
ρ ... 7.97 g/cm3

Cell: 2.9964 2.9964 29.5876 Å, 90.00 90.00 120.00°
Space group R-3m (No. 166, hexagonal axes)
One atom of each set of equivalent atoms:
Zr 0.0000 0.0000 0.0000 [3 per cell]
Ta 0.0000 0.0000 0.5000 [3 per cell]
Ti 0.0000 0.0000 0.2458 [6 per cell]



(9)
The following is a PBE calculation of crystalline PmDy5Sc at its relaxed geometry, from Alexandria via LeMat-Bulk.

## Properties
Calculated formation energy ... 0.5 eV per formula unit
Raw total energy ... -4.802 eV/atom
ρ ... 7.60 g/cm3

Cell: 9.214 3.562 13.701 Å, 90.00 103.04 90.00°
Space group P2_1/m (No. 11)
One atom of each set of equivalent atoms:
Pm 0.111 0.250 0.133 [2 per cell]
Dy 0.009 0.750 0.373 [2 per cell]
Dy 0.202 0.250 0.882 [2 per cell]
Dy 0.332 0.250 0.507 [2 per cell]
Dy 0.349 0.750 0.721 [2 per cell]
Dy 0.417 0.750 0.082 [2 per cell]
Sc 0.350 0.750 0.307 [2 per cell]



(10)
The following is a PBE calculation of crystalline Mg3Al4Cu8 at its relaxed geometry, from Alexandria via LeMat-Bulk.

## Properties
Calculated formation energy ... -2.4 eV per formula unit
Raw total energy ... -3.662 eV/atom
ρ ... 5.21 g/cm3

Cell: 12.065 12.065 12.065 Å, 90.00 90.00 90.00°
Space group Fm-3m (No. 225)
One atom of each set of equivalent atoms:
Mg 0.000 0.000 0.232 [24 per cell]
Al 0.000 0.000 0.000 [4 per cell]
Al 0.000 0.000 0.500 [4 per cell]
Al 0.000 0.250 0.250 [24 per cell]
Cu 0.123 0.123 0.377 [32 per cell]
Cu 0.168 0.168 0.168 [32 per cell]



(11)
The following is a PBE calculation of crystalline NaCCl3 at its relaxed geometry, from Alexandria via LeMat-Bulk.

## Properties
Formation energy from raw total energies ... 1.24 eV/atom
Raw total energy ... -1.981 eV/atom
ρ ... 1.79 g/cm3
Distance to the lowest polymorph of the same formula ... 1066 meV per atom

Cell: 5.084 5.084 5.084 Å, 90.00 90.00 90.00°
Space group Pm-3m (No. 221)
One atom of each set of equivalent atoms:
Na 0.000 0.000 0.000 [1 per cell]
C 0.500 0.500 0.500 [1 per cell]
Cl 0.000 0.000 0.500 [3 per cell]



raw total energy of number 7 (Er4TlGaHg2)?
-3.482 eV/atom



The lowest raw total energy belongs to which entry?
ZrTaTi2



Which of these has the highest raw total energy?
NaCCl3